# CoNiAs (meta-GGA SCAN, single point on PBEsol structure)
# Total moment   0.00 μB per cell
# D(E_F)   6.05 states/eV per cell
# Energy of formation from the pure elements   -13.0 kJ per mole of atoms
data_CoNiAs
_cell_length_a 6.0216
_cell_length_b 6.0216
_cell_length_c 3.3525
_cell_angle_alpha 90.00
_cell_angle_beta 90.00
_cell_angle_gamma 120.00
_space_group_name_H-M_alt 'P -6 2 m'
_space_group_IT_number 189
_space_group_name_Hall 'P -6 -2'
loop_
_atom_site_label
_atom_site_type_symbol
_atom_site_fract_x
_atom_site_fract_y
_atom_site_fract_z
Co1 Co 0.0000 0.6068 0.0000
Ni1 Ni 0.0000 0.2614 0.5000
As1 As 0.0000 0.0000 0.0000
As2 As 0.3333 0.6667 0.5000